1.
Density functional theory data (PBE-GGA) for PrSmMg3 after structural relaxation.

As for the energy of formation: 7 meV/atom. The final energy comes out at -2.850 eV/atom. The space group is R-3m (166). The crystal system is trigonal.

Cell: 9.1646 9.1646 9.1646 Å, 40.19 40.19 40.19°
Positions (direct):
Pr: 0.0681 0.0681 0.0681
Pr: 0.9319 0.9319 0.9319
Sm: 0.3343 0.3343 0.3343
Sm: 0.6657 0.6657 0.6657
Mg: 0.1111 0.6240 0.6240
Mg: 0.3760 0.3760 0.8889
Mg: 0.3760 0.8889 0.3760
Mg: 0.6240 0.1111 0.6240
Mg: 0.6240 0.6240 0.1111
Mg: 0.8889 0.3760 0.3760

2.
Density functional theory data (PBE-GGA) for Pr3Sm4Mg2 after structural relaxation.

As for the energy of formation: 8 meV/atom. The final energy comes out at -4.037 eV/atom. The space group is C2/m (12). The crystal system is monoclinic.

Cell: 8.0418 8.0418 7.9957 Å, 107.74 107.74 36.75°
Positions (direct):
Pr: 0.0000 0.0000 0.0000
Pr: 0.1129 0.1129 0.6680
Pr: 0.8871 0.8871 0.3320
Sm: 0.2218 0.2218 0.3268
Sm: 0.4436 0.4436 0.6687
Sm: 0.5564 0.5564 0.3313
Sm: 0.7782 0.7782 0.6732
Mg: 0.3311 0.3311 0.0001
Mg: 0.6689 0.6689 0.9999

3.
Density functional theory data (PBE-GGA) for Pr6Sm12Mg after structural relaxation.

As for the energy of formation: 116 meV/atom. The final energy comes out at -4.458 eV/atom. The space group is R-3 (148). The crystal system is trigonal.

Cell: 8.6928 8.6928 8.6928 Å, 89.08 89.08 89.08°
Positions (direct):
Pr: 0.2018 0.5947 0.7631
Pr: 0.2369 0.7982 0.4053
Pr: 0.4053 0.2369 0.7982
Pr: 0.5947 0.7631 0.2018
Pr: 0.7631 0.2018 0.5947
Pr: 0.7982 0.4053 0.2369
Sm: 0.0357 0.2805 0.9348
Sm: 0.0652 0.9644 0.7195
Sm: 0.1384 0.3160 0.4828
Sm: 0.2805 0.9348 0.0357
Sm: 0.3160 0.4828 0.1384
Sm: 0.4828 0.1384 0.3160
Sm: 0.5172 0.8616 0.6840
Sm: 0.6840 0.5172 0.8616
Sm: 0.7195 0.0652 0.9643
Sm: 0.8616 0.6840 0.5172
Sm: 0.9348 0.0357 0.2805
Sm: 0.9643 0.7195 0.0652
Mg: 0.5000 0.5000 0.5000

4.
Density functional theory data (PBE-GGA) for Pr4Sm2Mg after structural relaxation.

As for the energy of formation: 167 meV/atom. The final energy comes out at -4.140 eV/atom. The space group is Imma (74). The crystal system is orthorhombic.

Cell: 9.0914 9.0914 9.0914 Å, 135.29 101.12 95.54°
Positions (direct):
Pr: 0.1680 0.1538 0.0142
Pr: 0.2417 0.2154 0.4737
Pr: 0.2417 0.7680 0.0263
Pr: 0.3603 0.8462 0.5142
Pr: 0.6397 0.1538 0.4858
Pr: 0.7583 0.2320 0.9737
Pr: 0.7583 0.7846 0.5263
Pr: 0.8320 0.8462 0.9858
Sm: 0.0000 0.5000 0.5000
Sm: 0.0332 0.2832 0.7500
Sm: 0.5000 0.5000 0.0000
Sm: 0.9668 0.7168 0.2500
Mg: 0.5000 0.0000 0.0000
Mg: 0.5000 0.5000 0.5000

5.
Density functional theory data (PBE-GGA) for Pr2Sm9Mg after structural relaxation.

As for the energy of formation: 19 meV/atom. The final energy comes out at -4.450 eV/atom. The space group is P4/mmm (123). The crystal system is tetragonal.

Cell: 5.1017 5.1017 15.3789 Å, 90.00 90.00 90.00°
Positions (direct):
Pr: 0.0000 0.0000 0.1702
Pr: 0.0000 0.0000 0.8298
Sm: 0.0000 0.5000 0.0000
Sm: 0.0000 0.5000 0.3377
Sm: 0.0000 0.5000 0.6623
Sm: 0.5000 0.0000 0.0000
Sm: 0.5000 0.0000 0.3377
Sm: 0.5000 0.0000 0.6623
Sm: 0.5000 0.5000 0.1711
Sm: 0.5000 0.5000 0.5000
Sm: 0.5000 0.5000 0.8289
Mg: 0.0000 0.0000 0.5000

6.
Density functional theory data (PBE-GGA) for PrSm3Mg2 after structural relaxation.

As for the energy of formation: -58 meV/atom. The final energy comes out at -3.746 eV/atom. The space group is P4/mmm (123). The crystal system is tetragonal.

Cell: 3.7770 3.7770 12.9494 Å, 90.00 90.00 90.00°
Positions (direct):
Pr: 0.0000 0.0000 0.0000
Sm: 0.5000 0.5000 0.1963
Sm: 0.5000 0.5000 0.5000
Sm: 0.5000 0.5000 0.8037
Mg: 0.0000 0.0000 0.3489
Mg: 0.0000 0.0000 0.6511

7.
Density functional theory data (PBE-GGA) for Pr8Sm2Mg after structural relaxation.

As for the energy of formation: 93 meV/atom. The final energy comes out at -4.386 eV/atom. The space group is Immm (71). The crystal system is orthorhombic.

Cell: 9.9779 9.9779 9.9779 Å, 146.58 133.96 58.07°
Positions (direct):
Pr: 0.1473 0.3657 0.7816
Pr: 0.1744 0.1744 0.0000
Pr: 0.2646 0.0000 0.2646
Pr: 0.4159 0.6343 0.7816
Pr: 0.5841 0.3657 0.2184
Pr: 0.7354 0.0000 0.7354
Pr: 0.8256 0.8256 0.0000
Pr: 0.8527 0.6343 0.2184
Sm: 0.3052 0.8052 0.5000
Sm: 0.6948 0.1948 0.5000
Mg: 0.0000 0.5000 0.5000

8.
Density functional theory data (PBE-GGA) for Pr9SmMg2 after structural relaxation.

As for the energy of formation: -3 meV/atom. The final energy comes out at -4.247 eV/atom. The space group is P4/mmm (123). The crystal system is tetragonal.

Cell: 5.1222 5.1222 15.4225 Å, 90.00 90.00 90.00°
Positions (direct):
Pr: 0.0000 0.0000 0.0000
Pr: 0.0000 0.0000 0.3362
Pr: 0.0000 0.0000 0.6638
Pr: 0.0000 0.5000 0.1710
Pr: 0.0000 0.5000 0.5000
Pr: 0.0000 0.5000 0.8290
Pr: 0.5000 0.0000 0.1710
Pr: 0.5000 0.0000 0.5000
Pr: 0.5000 0.0000 0.8290
Sm: 0.5000 0.5000 0.0000
Mg: 0.5000 0.5000 0.3371
Mg: 0.5000 0.5000 0.6629

- final energy of number 3 (Pr6Sm12Mg)?
  -4.458 eV/atom